[1]
A plane-wave DFT calculation with PBE was carried out for a geometry-optimized BaAlCoP structure.

Lattice parameters (Å, degrees): 3.861 3.861 12.202 90.00 90.00 90.00
Sites, in units of the cell vectors:
P  0.250  0.250  0.093
Ba  0.750  0.750  0.238
Al  0.250  0.750  0.500
Co  0.750  0.250  0.000
Co  0.250  0.750  0.000
P  0.750  0.750  0.907
Al  0.750  0.250  0.500
Ba  0.250  0.250  0.762

Output
- Calculated formation energy: -509 meV/atom
- Total DFT energy (no corrections): -0.18575 hartree per atom

***

[2]
A plane-wave DFT calculation with PBE was carried out for a geometry-optimized BaYAlCo2 structure.

Lattice parameters (Å, degrees): 4.848 5.553 4.848 90.00 90.00 90.00
Sites, in units of the cell vectors:
Al  0.000  0.500  0.000
Y  0.500  0.500  0.500
Ba  0.000  0.000  0.000
Co  0.000  0.000  0.500
Co  0.500  0.000  0.000

Output
- Calculated formation energy: 1449 meV/atom
- Total DFT energy (no corrections): -0.14035 hartree per atom

***

[3]
A plane-wave DFT calculation with PBE was carried out for a geometry-optimized BaAlCr3 structure.

Lattice parameters (Å, degrees): 5.104 5.104 5.104 90.00 90.00 90.00
Sites, in units of the cell vectors:
Al  0.000  0.000  0.000
Ba  0.500  0.500  0.500
Cr  0.500  0.000  0.000
Cr  0.000  0.000  0.500
Cr  0.000  0.500  0.000

Output
- Calculated formation energy: 987 meV/atom
- Total DFT energy (no corrections): -0.21757 hartree per atom

***

[4]
A plane-wave DFT calculation with PBE was carried out for a geometry-optimized BaAlCr3 structure.

Lattice parameters (Å, degrees): 5.179 5.179 5.179 90.00 90.00 90.00
Sites, in units of the cell vectors:
Cr  0.500  0.000  0.000
Al  0.500  0.500  0.500
Ba  0.000  0.000  0.000
Cr  0.000  0.500  0.000
Cr  0.000  0.000  0.500

Output
- Calculated formation energy: 2358 meV/atom
- Total DFT energy (no corrections): -0.16718 hartree per atom

***

[5]
A plane-wave DFT calculation with PBE was carried out for a geometry-optimized Ba2AlCr structure.

Lattice parameters (Å, degrees): 6.764 6.764 6.764 144.03 129.65 63.42
Sites, in units of the cell vectors:
Ba  0.727  0.227  0.500
Al  0.302  0.802  0.500
Ba  0.030  0.030  0.000
Cr  0.441  0.441  0.000

Output
- Calculated formation energy: 304 meV/atom
- Total DFT energy (no corrections): -0.14694 hartree per atom

***

[6]
A plane-wave DFT calculation with PBE was carried out for a geometry-optimized BaAlCr2 structure.

Lattice parameters (Å, degrees): 4.860 4.860 9.831 75.69 75.69 90.00
Sites, in units of the cell vectors:
Al  0.250  0.750  0.500
Cr  0.375  0.125  0.250
Ba  0.750  0.250  0.500
Cr  0.875  0.625  0.750
Cr  0.375  0.625  0.250
Al  0.500  0.500  0.000
Cr  0.375  0.625  0.750
Ba  0.000  0.000  0.000

Output
- Calculated formation energy: 856 meV/atom
- Total DFT energy (no corrections): -0.19742 hartree per atom

***

[7]
A plane-wave DFT calculation with PBE was carried out for a geometry-optimized BaAl4Cr structure.

Lattice parameters (Å, degrees): 5.691 5.691 5.691 60.00 60.00 60.00
Sites, in units of the cell vectors:
Ba  0.750  0.750  0.750
Al  0.375  0.375  0.375
Al  0.375  0.375  0.876
Al  0.876  0.375  0.375
Al  0.375  0.876  0.375
Cr  0.000  0.000  0.000

Output
- Calculated formation energy: 200 meV/atom
- Total DFT energy (no corrections): -0.15506 hartree per atom

***

[8]
A plane-wave DFT calculation with PBE was carried out for a geometry-optimized Ba2AlCr structure.

Lattice parameters (Å, degrees): 12.187 12.187 8.976 47.25 47.25 90.00
Sites, in units of the cell vectors:
Cr  0.000  0.000  0.000
Ba  0.875  0.047  0.750
Ba  0.375  0.203  0.750
Ba  0.797  0.125  0.250
Cr  0.750  0.250  0.500
Al  0.500  0.500  0.000
Ba  0.953  0.625  0.250
Al  0.250  0.750  0.500

Output
- Calculated formation energy: 497 meV/atom
- Total DFT energy (no corrections): -0.13985 hartree per atom

***

[9]
A plane-wave DFT calculation with PBE was carried out for a geometry-optimized Ba2AlCr structure.

Lattice parameters (Å, degrees): 4.809 5.277 6.589 66.43 90.00 90.00
Sites, in units of the cell vectors:
Ba  0.000  0.980  0.915
Al  0.500  0.577  0.721
Ba  0.500  0.272  0.331
Cr  0.000  0.671  0.533

Output
- Calculated formation energy: 281 meV/atom
- Total DFT energy (no corrections): -0.14781 hartree per atom

***

[10]
A plane-wave DFT calculation with PBE was carried out for a geometry-optimized BaAlCr2 structure.

Lattice parameters (Å, degrees): 4.568 3.096 6.503 81.87 90.00 90.00
Sites, in units of the cell vectors:
Cr  0.000  0.027  0.133
Cr  0.000  0.473  0.367
Ba  0.500  0.750  0.750
Al  0.500  0.250  0.250

Output
- Calculated formation energy: 641 meV/atom
- Total DFT energy (no corrections): -0.20533 hartree per atom

***

[11]
A plane-wave DFT calculation with PBE was carried out for a geometry-optimized BaAl2Cr structure.

Lattice parameters (Å, degrees): 10.009 10.009 10.009 18.91 18.91 18.91
Sites, in units of the cell vectors:
Cr  0.750  0.750  0.750
Ba  0.250  0.250  0.250
Al  0.482  0.482  0.482
Al  0.018  0.018  0.018

Output
- Calculated formation energy: 511 meV/atom
- Total DFT energy (no corrections): -0.15608 hartree per atom

***

[12]
A plane-wave DFT calculation with PBE was carried out for a geometry-optimized BaAl2Cr structure.

Lattice parameters (Å, degrees): 5.797 7.077 3.157 63.51 90.00 119.29
Sites, in units of the cell vectors:
Al  0.000  0.500  0.500
Al  0.000  0.000  0.000
Cr  0.500  0.000  0.500
Ba  0.500  0.500  0.000

Output
- Calculated formation energy: 593 meV/atom
- Total DFT energy (no corrections): -0.15304 hartree per atom

***

[13]
A plane-wave DFT calculation with PBE was carried out for a geometry-optimized BaAl2Cr structure.

Lattice parameters (Å, degrees): 3.464 3.464 7.958 90.00 90.00 90.00
Sites, in units of the cell vectors:
Ba  0.000  0.000  0.503
Cr  0.500  0.500  0.833
Al  0.000  0.000  0.987
Al  0.500  0.500  0.177

Output
- Calculated formation energy: 310 meV/atom
- Total DFT energy (no corrections): -0.16345 hartree per atom

***

[14]
A plane-wave DFT calculation with PBE was carried out for a geometry-optimized BaAlCr2 structure.

Lattice parameters (Å, degrees): 5.490 5.490 5.490 127.91 127.91 76.77
Sites, in units of the cell vectors:
Cr  0.000  0.000  0.000
Cr  0.250  0.750  0.500
Ba  0.750  0.250  0.500
Al  0.500  0.500  0.000

Output
- Calculated formation energy: 881 meV/atom
- Total DFT energy (no corrections): -0.19648 hartree per atom

***

[15]
A plane-wave DFT calculation with PBE was carried out for a geometry-optimized BaAl2Cr structure.

Lattice parameters (Å, degrees): 4.527 4.527 6.671 70.14 70.14 60.01
Sites, in units of the cell vectors:
Cr  0.250  0.250  0.250
Al  0.557  0.557  0.330
Ba  0.750  0.750  0.750
Al  0.943  0.943  0.170

Output
- Calculated formation energy: 25 meV/atom
- Total DFT energy (no corrections): -0.17391 hartree per atom

***

[16]
A plane-wave DFT calculation with PBE was carried out for a geometry-optimized BaAl2Cr structure.

Lattice parameters (Å, degrees): 5.159 5.159 5.159 60.00 60.00 60.00
Sites, in units of the cell vectors:
Ba  0.500  0.500  0.500
Cr  0.000  0.000  0.000
Al  0.750  0.750  0.750
Al  0.250  0.250  0.250

Output
- Calculated formation energy: 383 meV/atom
- Total DFT energy (no corrections): -0.16077 hartree per atom

***

[17]
A plane-wave DFT calculation with PBE was carried out for a geometry-optimized BaAlCr2 structure.

Lattice parameters (Å, degrees): 9.865 9.865 9.865 19.07 19.07 19.07
Sites, in units of the cell vectors:
Cr  0.518  0.518  0.518
Cr  0.982  0.982  0.982
Al  0.250  0.250  0.250
Ba  0.750  0.750  0.750

Output
- Calculated formation energy: 942 meV/atom
- Total DFT energy (no corrections): -0.19427 hartree per atom

***

[18]
A plane-wave DFT calculation with PBE was carried out for a geometry-optimized BaAl2Cr structure.

Lattice parameters (Å, degrees): 3.363 3.363 7.957 90.00 90.00 90.00
Sites, in units of the cell vectors:
Al  0.000  0.000  0.578
Ba  0.500  0.500  0.250
Al  0.000  0.000  0.922
Cr  0.500  0.500  0.750

Output
- Calculated formation energy: 128 meV/atom
- Total DFT energy (no corrections): -0.17014 hartree per atom

***

[19]
A plane-wave DFT calculation with PBE was carried out for a geometry-optimized BaAlCr structure.

Lattice parameters (Å, degrees): 4.643 4.643 4.956 90.00 90.00 120.00
Sites, in units of the cell vectors:
Ba  0.667  0.333  0.333
Cr  0.333  0.667  0.833
Al  0.000  0.000  0.833

Output
- Calculated formation energy: 384 meV/atom
- Total DFT energy (no corrections): -0.17317 hartree per atom

***

[20]
A plane-wave DFT calculation with PBE was carried out for a geometry-optimized BaAlCr structure.

Lattice parameters (Å, degrees): 5.377 5.377 5.377 60.00 60.00 60.00
Sites, in units of the cell vectors:
Al  0.500  0.500  0.500
Ba  0.750  0.750  0.750
Cr  0.000  0.000  0.000

Output
- Calculated formation energy: 1152 meV/atom
- Total DFT energy (no corrections): -0.14493 hartree per atom

***

[21]
A plane-wave DFT calculation with PBE was carried out for a geometry-optimized Ba2AlCr structure.

Lattice parameters (Å, degrees): 10.516 10.516 10.516 23.44 23.44 23.44
Sites, in units of the cell vectors:
Ba  0.499  0.499  0.499
Ba  0.001  0.001  0.001
Al  0.750  0.750  0.750
Cr  0.250  0.250  0.250

Output
- Calculated formation energy: 639 meV/atom
- Total DFT energy (no corrections): -0.13464 hartree per atom

***

[22]
A plane-wave DFT calculation with PBE was carried out for a geometry-optimized Ba2AlCr structure.

Lattice parameters (Å, degrees): 4.754 4.754 9.111 75.09 75.09 59.96
Sites, in units of the cell vectors:
Cr  0.542  0.542  0.375
Ba  0.791  0.791  0.629
Ba  0.959  0.959  0.120
Al  0.208  0.208  0.375

Output
- Calculated formation energy: 209 meV/atom
- Total DFT energy (no corrections): -0.15045 hartree per atom

***

[23]
A plane-wave DFT calculation with PBE was carried out for a geometry-optimized BaAl2Cr structure.

Lattice parameters (Å, degrees): 4.539 4.539 6.656 70.17 70.17 60.02
Sites, in units of the cell vectors:
Ba  0.505  0.505  0.487
Al  0.985  0.985  0.044
Al  0.693  0.693  0.922
Cr  0.317  0.317  0.047

Output
- Calculated formation energy: 62 meV/atom
- Total DFT energy (no corrections): -0.17257 hartree per atom

***

[24]
A plane-wave DFT calculation with PBE was carried out for a geometry-optimized BaAlCr2 structure.

Lattice parameters (Å, degrees): 6.120 6.120 6.120 149.34 125.83 63.54
Sites, in units of the cell vectors:
Ba  0.248  0.748  0.500
Al  0.544  0.544  0.000
Cr  0.758  0.258  0.500
Cr  0.950  0.950  0.000

Output
- Calculated formation energy: 743 meV/atom
- Total DFT energy (no corrections): -0.20157 hartree per atom

***

[25]
A plane-wave DFT calculation with PBE was carried out for a geometry-optimized BaAlCr2 structure.

Lattice parameters (Å, degrees): 3.197 3.189 8.732 68.63 90.00 90.00
Sites, in units of the cell vectors:
Cr  0.000  0.905  0.095
Ba  0.500  0.747  0.753
Cr  0.500  0.270  0.229
Al  0.000  0.578  0.422

Output
- Calculated formation energy: 373 meV/atom
- Total DFT energy (no corrections): -0.21517 hartree per atom

***

[26]
A plane-wave DFT calculation with PBE was carried out for a geometry-optimized BaAlCr2 structure.

Lattice parameters (Å, degrees): 4.456 4.456 6.621 70.38 70.38 59.97
Sites, in units of the cell vectors:
Cr  0.933  0.933  0.202
Al  0.561  0.561  0.317
Cr  0.260  0.260  0.220
Ba  0.746  0.746  0.762

Output
- Calculated formation energy: 283 meV/atom
- Total DFT energy (no corrections): -0.21846 hartree per atom

***

[27]
A plane-wave DFT calculation with PBE was carried out for a geometry-optimized BaAlCr structure.

Lattice parameters (Å, degrees): 6.649 6.649 6.649 148.26 148.26 45.50
Sites, in units of the cell vectors:
Ba  0.336  0.336  0.000
Al  0.045  0.045  0.000
Cr  0.619  0.619  0.000

Output
- Calculated formation energy: 380 meV/atom
- Total DFT energy (no corrections): -0.17333 hartree per atom

***

[28]
A plane-wave DFT calculation with PBE was carried out for a geometry-optimized BaAlCr2 structure.

Lattice parameters (Å, degrees): 5.010 5.012 3.825 90.00 90.00 90.00
Sites, in units of the cell vectors:
Cr  0.500  0.500  0.000
Al  0.500  0.000  0.500
Ba  0.000  0.500  0.500
Cr  0.000  0.000  0.000

Output
- Calculated formation energy: 914 meV/atom
- Total DFT energy (no corrections): -0.19530 hartree per atom

***

[29]
A plane-wave DFT calculation with PBE was carried out for a geometry-optimized BaAl2Cr structure.

Lattice parameters (Å, degrees): 5.165 5.165 5.165 60.00 60.00 60.00
Sites, in units of the cell vectors:
Cr  0.750  0.750  0.750
Al  0.000  0.000  0.000
Ba  0.500  0.500  0.500
Al  0.250  0.250  0.250

Output
- Calculated formation energy: 439 meV/atom
- Total DFT energy (no corrections): -0.15871 hartree per atom

***

[30]
A plane-wave DFT calculation with PBE was carried out for a geometry-optimized BaAlCr2 structure.

Lattice parameters (Å, degrees): 4.838 4.838 6.279 81.40 81.40 38.50
Sites, in units of the cell vectors:
Al  0.250  0.250  0.250
Cr  0.982  0.982  0.141
Ba  0.750  0.750  0.750
Cr  0.518  0.518  0.359

Output
- Calculated formation energy: 602 meV/atom
- Total DFT energy (no corrections): -0.20676 hartree per atom